44
Lattice="5.254 0.000 0.000 0.000 7.698 0.000 0.000 0.000 15.260" Properties=species:S:1:pos:R:3 comment="TaP2O8 PBEsol optimized geometry" spacegroup="No. 62" magmom_total_mub_per_atom=0.09 crystal_system=orthorhombic e_form_raw_kj_per_mol_atoms=-211 pbc="T T T"
O 1.314 1.404 10.898
O 1.314 2.445 3.268
O 2.711 1.829 8.453
O 1.314 4.181 8.167
O 3.941 3.517 7.092
O 2.711 2.020 0.823
O 5.189 3.757 10.462
O 3.941 0.332 14.722
O 1.314 4.944 1.298
O 5.170 2.020 0.823
O 1.314 6.603 8.928
O 5.189 0.092 2.832
O 3.941 5.825 1.841
O 1.314 7.366 0.538
O 0.084 5.869 6.807
O 3.941 5.723 9.470
O 2.543 5.678 14.436
O 2.692 3.757 10.462
O 0.065 7.606 12.427
O 1.314 1.976 5.789
O 2.562 3.941 4.798
O 3.941 6.294 4.361
O 2.562 7.606 12.427
O 0.065 3.941 4.798
O 3.941 2.754 13.961
O 1.314 1.874 13.419
O 0.084 5.678 14.436
O 5.170 1.829 8.453
O 2.543 5.869 6.807
O 2.692 0.092 2.832
O 3.941 5.253 11.991
O 3.941 1.095 6.332
Ta 3.941 4.983 5.779
Ta 1.314 2.716 9.481
Ta 3.941 6.565 13.409
Ta 1.314 1.134 1.851
P 3.941 1.823 15.152
P 1.314 5.875 0.108
P 1.314 0.809 12.333
P 1.314 5.672 7.738
P 3.941 2.026 7.522
P 1.314 3.040 4.704
P 3.941 4.658 10.556
P 3.941 6.889 2.926